# 1
BaCrCo2: relaxed, PBE-GGA.

Lattice parameters (Å, degrees): 3.8837 3.8834 6.2668 90.00 108.04 90.00
With the nearest neighbours (Å) after each atom.
Sites, in units of the cell vectors:
Ba (0.0000, 0.0000, 0.0000)  7 Co 3.10-3.46
Cr (0.7342, 0.5000, 0.4656)  2 Co 2.35-2.36
Co (0.2619, 0.0000, 0.5200)  2 Co 2.19
Co (0.3458, 0.5000, 0.6893)  2 Co 2.19, 2 Cr 2.35-2.36

Output
ΔE to the lowest computed polymorph = 254 meV/atom
DOS at the Fermi energy = 6.250 states/eV/f.u.
energy of formation = 653 meV/atom

---

# 2
Sr2CdInPb6: relaxed, PBE-GGA.

Lattice parameters (Å, degrees): 18.8019 18.8019 18.8019 20.95 20.95 20.95
With the nearest neighbours (Å) after each atom.
Sites, in units of the cell vectors:
Sr (0.0984, 0.0984, 0.0984)  9 Pb 3.70-3.77, 3 In 4.00
Sr (0.3164, 0.3164, 0.3164)  9 Pb 3.69-3.79, 3 Cd 4.06
Sr (0.6836, 0.6836, 0.6836)  9 Pb 3.69-3.79, 3 Cd 4.06
Sr (0.9016, 0.9016, 0.9016)  9 Pb 3.70-3.77, 3 In 4.00
Cd (0.0000, 0.0000, 0.0000)  6 Pb 3.08
Cd (0.5000, 0.5000, 0.5000)  6 Pb 3.01
In (0.4194, 0.4194, 0.4194)  6 Pb 3.08-3.10
In (0.5806, 0.5806, 0.5806)  6 Pb 3.08-3.10
Pb (0.1098, 0.6359, 0.6359)  1 Cd 3.01, 1 In 3.08, 2 Pb 3.24
Pb (0.2124, 0.2124, 0.7017)  1 Cd 3.08, 1 In 3.10, 2 Pb 3.35
Pb (0.2124, 0.7017, 0.2124)  1 Cd 3.08, 1 In 3.10, 2 Pb 3.35
Pb (0.2983, 0.7876, 0.7876)  1 Cd 3.08, 1 In 3.10, 2 Pb 3.35
Pb (0.3641, 0.3641, 0.8902)  1 Cd 3.01, 1 In 3.08, 2 Pb 3.24
Pb (0.3641, 0.8902, 0.3641)  1 Cd 3.01, 1 In 3.08, 2 Pb 3.24
Pb (0.6359, 0.1098, 0.6359)  1 Cd 3.01, 1 In 3.08, 2 Pb 3.24
Pb (0.6359, 0.6359, 0.1098)  1 Cd 3.01, 1 In 3.08, 2 Pb 3.24
Pb (0.7017, 0.2124, 0.2124)  1 Cd 3.08, 1 In 3.10, 2 Pb 3.35
Pb (0.7876, 0.2983, 0.7876)  1 Cd 3.08, 1 In 3.10, 2 Pb 3.35
Pb (0.7876, 0.7876, 0.2983)  1 Cd 3.08, 1 In 3.10, 2 Pb 3.35
Pb (0.8902, 0.3641, 0.3641)  1 Cd 3.01, 1 In 3.08, 2 Pb 3.24

Output
DOS at the Fermi energy = 5.881 states/eV/f.u.
energy of formation = -118 meV/atom

---

# 3
Pm2HoSe2O2: relaxed, PBE-GGA.

Lattice parameters (Å, degrees): 4.2989 4.2989 15.5257 90.00 90.00 90.00
With the nearest neighbours (Å) after each atom.
Sites, in units of the cell vectors:
Pm (0.0000, 0.0000, 0.1269)  4 O 2.92, 5 Se 2.99-3.15
Pm (0.0000, 0.0000, 0.8731)  4 O 2.92, 5 Se 2.99-3.15
Pm (0.5000, 0.5000, 0.3731)  4 O 2.92, 5 Se 2.99-3.15
Pm (0.5000, 0.5000, 0.6269)  4 O 2.92, 5 Se 2.99-3.15
Ho (0.0000, 0.0000, 0.5000)  4 O 2.15
Ho (0.5000, 0.5000, 0.0000)  4 O 2.15
Se (0.0000, 0.0000, 0.3193)  1 Ho 2.81, 1 Pm 2.99
Se (0.0000, 0.0000, 0.6807)  1 Ho 2.81, 1 Pm 2.99
Se (0.5000, 0.5000, 0.1807)  1 Ho 2.81, 1 Pm 2.99
Se (0.5000, 0.5000, 0.8193)  1 Ho 2.81, 1 Pm 2.99
O (0.0000, 0.5000, 0.0000)  2 Ho 2.15
O (0.0000, 0.5000, 0.5000)  2 Ho 2.15
O (0.5000, 0.0000, 0.0000)  2 Ho 2.15
O (0.5000, 0.0000, 0.5000)  2 Ho 2.15

Output
DOS at the Fermi energy = 2.819 states/eV/f.u.
raw formation energy = -2370 meV/atom

---

# 4
Er4CuPb: relaxed, PBE-GGA.

Lattice parameters (Å, degrees): 5.4581 6.8734 8.6198 90.00 100.55 90.00
With the nearest neighbours (Å) after each atom.
Sites, in units of the cell vectors:
Er (0.1366, 0.2500, 0.0490)  2 Cu 2.72-2.97
Er (0.2112, 0.7500, 0.3595)  1 Cu 2.98, 2 Pb 3.30
Er (0.3247, 0.5114, 0.7555)  2 Cu 2.82-2.96
Er (0.3247, 0.9886, 0.7555)  2 Cu 2.82-2.96
Er (0.6753, 0.0114, 0.2445)  2 Cu 2.82-2.96
Er (0.6753, 0.4886, 0.2445)  2 Cu 2.82-2.96
Er (0.7888, 0.2500, 0.6405)  1 Cu 2.98, 2 Pb 3.30
Er (0.8634, 0.7500, 0.9510)  2 Cu 2.72-2.97
Cu (0.3663, 0.7500, 0.0454)  7 Er 2.72-2.98
Cu (0.6337, 0.2500, 0.9546)  7 Er 2.72-2.98
Pb (0.2257, 0.2500, 0.4216)  11 Er 3.16-3.52
Pb (0.7743, 0.7500, 0.5784)  11 Er 3.16-3.52

Output
DOS at the Fermi energy = 6.297 states/eV/f.u.
energy of formation = -246 meV/atom

---

# 5
V3NiRh4: relaxed, PBE-GGA.

Lattice parameters (Å, degrees): 2.7120 4.0583 9.8571 90.00 90.00 90.00
With the nearest neighbours (Å) after each atom.
Sites, in units of the cell vectors:
V (0.0000, 0.0000, 0.0000)  4 V 2.51-2.71, 7 Rh 2.59-2.75
V (0.0000, 0.5000, 0.1501)  4 V 2.51-2.71, 7 Rh 2.57-2.75
V (0.5000, 0.0000, 0.5133)  2 Ni 2.40, 7 Rh 2.59-2.66
Ni (0.5000, 0.5000, 0.6441)  2 V 2.40, 7 Rh 2.60-2.67
Rh (0.0000, 0.0000, 0.7374)  3 V 2.59, 4 Ni 2.61, 2 Rh 2.71
Rh (0.0000, 0.5000, 0.4105)  5 V 2.57-2.64, 2 Ni 2.67, 2 Rh 2.71
Rh (0.5000, 0.0000, 0.2430)  7 V 2.61-2.75, 2 Rh 2.71
Rh (0.5000, 0.5000, 0.9079)  1 Ni 2.60, 6 V 2.60-2.75, 2 Rh 2.71

Output
ΔE to the lowest computed polymorph = 93 meV/atom
DOS at the Fermi energy = 10.240 states/eV/f.u.
energy of formation = -247 meV/atom

---

# 6
KIn3Sn3: relaxed, PBE-GGA.

Lattice parameters (Å, degrees): 8.1642 8.1642 8.1642 90.00 90.00 90.00
With the nearest neighbours (Å) after each atom.
Sites, in units of the cell vectors:
K (0.0000, 0.0000, 0.0000)  12 In 4.56, 12 Sn 4.56
K (0.5000, 0.5000, 0.5000)  12 In 4.56, 12 Sn 4.56
In (0.0000, 0.2500, 0.5000)  4 Sn 2.89
In (0.0000, 0.7500, 0.5000)  4 Sn 2.89
In (0.2500, 0.5000, 0.0000)  4 Sn 2.89
In (0.5000, 0.0000, 0.2500)  4 Sn 2.89
In (0.5000, 0.0000, 0.7500)  4 Sn 2.89
In (0.7500, 0.5000, 0.0000)  4 Sn 2.89
Sn (0.0000, 0.5000, 0.2500)  4 In 2.89
Sn (0.0000, 0.5000, 0.7500)  4 In 2.89
Sn (0.2500, 0.0000, 0.5000)  4 In 2.89
Sn (0.5000, 0.2500, 0.0000)  4 In 2.89
Sn (0.5000, 0.7500, 0.0000)  4 In 2.89
Sn (0.7500, 0.0000, 0.5000)  4 In 2.89

Output
ΔE to the lowest computed polymorph = 11 meV/atom
DOS at the Fermi energy = 5.373 states/eV/f.u.
energy of formation = 19 meV/atom

---

# 7
AlZn2Tc: relaxed, PBE-GGA.

Lattice parameters (Å, degrees): 2.7570 2.7570 7.8629 90.00 90.00 90.00
With the nearest neighbours (Å) after each atom.
Sites, in units of the cell vectors:
Al (0.0000, 0.0000, 0.0000)  4 Tc 2.68, 4 Al 2.76, 4 Zn 2.85
Zn (0.0000, 0.0000, 0.4799)  4 Tc 2.74, 8 Zn 2.76-2.80
Zn (0.5000, 0.5000, 0.7348)  8 Zn 2.76-2.80, 4 Al 2.85
Tc (0.5000, 0.5000, 0.2344)  4 Al 2.68, 4 Zn 2.74, 4 Tc 2.76

Output
DOS at the Fermi energy = 2.729 states/eV/f.u.
energy of formation = 43 meV/atom

---

# 8
BePb: relaxed, PBE-GGA.

Lattice parameters (Å, degrees): 3.5426 3.5426 8.4522 90.00 90.00 120.00
With the nearest neighbours (Å) after each atom.
Sites, in units of the cell vectors:
Be (0.3333, 0.6667, 0.0518)  3 Be 2.22
Be (0.6667, 0.3333, 0.9482)  3 Be 2.22
Pb (0.3333, 0.6667, 0.7231)  4 Be 2.78-2.79
Pb (0.6667, 0.3333, 0.2769)  4 Be 2.78-2.79

Output
ΔE to the lowest computed polymorph = 211 meV/atom
DOS at the Fermi energy = 1.780 states/eV/f.u.
energy of formation = 515 meV/atom

---

# 9
Cu2OsW: relaxed, PBE-GGA.

Lattice parameters (Å, degrees): 6.0626 6.0626 6.0626 90.00 90.00 90.00
With the nearest neighbours (Å) after each atom.
Sites, in units of the cell vectors:
Cu (0.0000, 0.0000, 0.0000)  4 Os 2.63, 4 Cu 2.63
Cu (0.0000, 0.5000, 0.5000)  4 Os 2.63, 4 Cu 2.63
Cu (0.2500, 0.2500, 0.2500)  4 Cu 2.63, 4 W 2.63
Cu (0.2500, 0.7500, 0.7500)  4 Cu 2.63, 4 W 2.63
Cu (0.5000, 0.0000, 0.5000)  4 Os 2.63, 4 Cu 2.63
Cu (0.5000, 0.5000, 0.0000)  4 Os 2.63, 4 Cu 2.63
Cu (0.7500, 0.2500, 0.7500)  4 Cu 2.63, 4 W 2.63
Cu (0.7500, 0.7500, 0.2500)  4 Cu 2.63, 4 W 2.63
Os (0.2500, 0.2500, 0.7500)  4 W 2.63, 4 Cu 2.63
Os (0.2500, 0.7500, 0.2500)  4 W 2.63, 4 Cu 2.63
Os (0.7500, 0.2500, 0.2500)  4 W 2.63, 4 Cu 2.63
Os (0.7500, 0.7500, 0.7500)  4 W 2.63, 4 Cu 2.63
W (0.0000, 0.0000, 0.5000)  4 Cu 2.63, 4 Os 2.63
W (0.0000, 0.5000, 0.0000)  4 Cu 2.63, 4 Os 2.63
W (0.5000, 0.0000, 0.0000)  4 Cu 2.63, 4 Os 2.63
W (0.5000, 0.5000, 0.5000)  4 Cu 2.63, 4 Os 2.63

Output
ΔE to the lowest computed polymorph = 106 meV/atom
DOS at the Fermi energy = 3.629 states/eV/f.u.
energy of formation = 327 meV/atom

---

# 10
YCo2N2: relaxed, PBE-GGA.

Lattice parameters (Å, degrees): 6.6307 6.6307 3.4102 90.00 90.00 90.00
With the nearest neighbours (Å) after each atom.
Sites, in units of the cell vectors:
Y (0.0000, 0.0000, 0.0000)  4 Co 2.62
Y (0.5000, 0.5000, 0.0000)  4 Co 2.62
Co (0.1243, 0.3757, 0.0000)  2 N 1.72
Co (0.3757, 0.8757, 0.0000)  2 N 1.72
Co (0.6243, 0.1243, 0.0000)  2 N 1.72
Co (0.8757, 0.6243, 0.0000)  2 N 1.72
N (0.1515, 0.3485, 0.5000)  2 Co 1.72
N (0.3485, 0.8485, 0.5000)  2 Co 1.72
N (0.6515, 0.1515, 0.5000)  2 Co 1.72
N (0.8485, 0.6515, 0.5000)  2 Co 1.72

Output
ΔE to the lowest computed polymorph = 505 meV/atom
DOS at the Fermi energy = 2.676 states/eV/f.u.
raw formation energy = 237 meV/atom

---

# 11
ZrScMnFe: relaxed, PBE-GGA.

Lattice parameters (Å, degrees): 6.3479 6.3479 6.3479 90.00 90.00 90.00
With the nearest neighbours (Å) after each atom.
Sites, in units of the cell vectors:
Zr (0.0000, 0.0000, 0.0000)  4 Mn 2.75, 4 Fe 2.75
Zr (0.0000, 0.5000, 0.5000)  4 Mn 2.75, 4 Fe 2.75
Zr (0.5000, 0.0000, 0.5000)  4 Mn 2.75, 4 Fe 2.75
Zr (0.5000, 0.5000, 0.0000)  4 Mn 2.75, 4 Fe 2.75
Sc (0.0000, 0.0000, 0.5000)  4 Fe 2.75, 4 Mn 2.75
Sc (0.0000, 0.5000, 0.0000)  4 Fe 2.75, 4 Mn 2.75
Sc (0.5000, 0.0000, 0.0000)  4 Fe 2.75, 4 Mn 2.75
Sc (0.5000, 0.5000, 0.5000)  4 Fe 2.75, 4 Mn 2.75
Mn (0.2500, 0.2500, 0.7500)  4 Sc 2.75, 4 Zr 2.75
Mn (0.2500, 0.7500, 0.2500)  4 Sc 2.75, 4 Zr 2.75
Mn (0.7500, 0.2500, 0.2500)  4 Sc 2.75, 4 Zr 2.75
Mn (0.7500, 0.7500, 0.7500)  4 Sc 2.75, 4 Zr 2.75
Fe (0.2500, 0.2500, 0.2500)  4 Zr 2.75, 4 Sc 2.75
Fe (0.2500, 0.7500, 0.7500)  4 Zr 2.75, 4 Sc 2.75
Fe (0.7500, 0.2500, 0.7500)  4 Zr 2.75, 4 Sc 2.75
Fe (0.7500, 0.7500, 0.2500)  4 Zr 2.75, 4 Sc 2.75

Output
DOS at the Fermi energy = 5.992 states/eV/f.u.
energy of formation = -26 meV/atom

---

# 12
Nd6TlSn: relaxed, PBE-GGA.

Lattice parameters (Å, degrees): 4.9787 4.9787 9.9341 90.00 90.00 90.00
With the nearest neighbours (Å) after each atom.
Sites, in units of the cell vectors:
Nd (0.0000, 0.0000, 0.0000)  8 Nd 3.49, 4 Sn 3.52
Nd (0.0000, 0.0000, 0.5000)  4 Tl 3.52, 8 Nd 3.54
Nd (0.0000, 0.5000, 0.2464)  2 Sn 3.49, 8 Nd 3.49-3.54, 2 Tl 3.54
Nd (0.0000, 0.5000, 0.7536)  2 Sn 3.49, 8 Nd 3.49-3.54, 2 Tl 3.54
Nd (0.5000, 0.0000, 0.2464)  2 Sn 3.49, 8 Nd 3.49-3.54, 2 Tl 3.54
Nd (0.5000, 0.0000, 0.7536)  2 Sn 3.49, 8 Nd 3.49-3.54, 2 Tl 3.54
Tl (0.5000, 0.5000, 0.5000)  12 Nd 3.52-3.54
Sn (0.5000, 0.5000, 0.0000)  12 Nd 3.49-3.52

Output
DOS at the Fermi energy = 11.922 states/eV/f.u.
energy of formation = -334 meV/atom